(1)
The following is a DFT calculation (PBEsol) of RbYTl2 after structural relaxation.

a b c (Å): 5.5948 5.5948 5.5948
angles (deg): 60.00 60.00 60.00
Last column: nearest neighbours and their distance in Å.
Element x y z (fractional)
Rb1 0.0000 0.0000 0.0000  8 Tl 3.43
Y1 0.5000 0.5000 0.5000  8 Tl 3.43
Tl1 0.2500 0.2500 0.2500  4 Y 3.43, 4 Rb 3.43
Tl2 0.7500 0.7500 0.7500  4 Rb 3.43, 4 Y 3.43

Summary:
- energy (hartree per atom) = -0.121
- M_tot (μB per formula unit) = 0.00
- E_form (eV per atom) = -0.0032

=====

(2)
The following is a DFT calculation (PBEsol) of RbTl2Zn after structural relaxation.

a b c (Å): 5.4270 5.4270 5.4270
angles (deg): 60.00 60.00 60.00
Last column: nearest neighbours and their distance in Å.
Element x y z (fractional)
Rb1 0.0000 0.0000 0.0000  8 Tl 3.32
Tl1 0.2500 0.2500 0.2500  4 Zn 3.32, 4 Rb 3.32
Tl2 0.7500 0.7500 0.7500  4 Rb 3.32, 4 Zn 3.32
Zn1 0.5000 0.5000 0.5000  8 Tl 3.32

Summary:
- energy (hartree per atom) = -0.065
- M_tot (μB per formula unit) = 0.00
- E_form (eV per atom) = 0.1892

=====

(3)
The following is a DFT calculation (PBEsol) of RbTl3Zn after structural relaxation.

a b c (Å): 5.4253 5.4253 5.4253
angles (deg): 90.00 90.00 90.00
Last column: nearest neighbours and their distance in Å.
Element x y z (fractional)
Rb1 0.0000 0.0000 0.0000  12 Tl 3.84
Tl1 0.0000 0.5000 0.5000  2 Zn 2.71
Tl2 0.5000 0.0000 0.5000  2 Zn 2.71
Tl3 0.5000 0.5000 0.0000  2 Zn 2.71
Zn1 0.5000 0.5000 0.5000  6 Tl 2.71

Summary:
- energy (hartree per atom) = -0.073
- M_tot (μB per formula unit) = 0.00
- E_form (eV per atom) = 0.1100

=====

Copy entry 1 word for word.
The following is a DFT calculation (PBEsol) of RbYTl2 after structural relaxation.

a b c (Å): 5.5948 5.5948 5.5948
angles (deg): 60.00 60.00 60.00
Last column: nearest neighbours and their distance in Å.
Element x y z (fractional)
Rb1 0.0000 0.0000 0.0000  8 Tl 3.43
Y1 0.5000 0.5000 0.5000  8 Tl 3.43
Tl1 0.2500 0.2500 0.2500  4 Y 3.43, 4 Rb 3.43
Tl2 0.7500 0.7500 0.7500  4 Rb 3.43, 4 Y 3.43

Summary:
- energy (hartree per atom) = -0.121
- M_tot (μB per formula unit) = 0.00
- E_form (eV per atom) = -0.0032

=====

Question: The lowest E_form belongs to which entry?
Answer: RbYTl2